DFT (GGA+U) results for CdFe2CoO after structural relaxation.

Unit cell a=4.969 b=4.969 c=3.501 alpha=90.00 beta=90.00 gamma=90.00
Space group P4/mmm (No. 123)
Symmetry-distinct sites (fractional):
Cd 0.000 0.000 0.000
Fe 0.000 0.500 0.500
Co 0.500 0.500 0.500
O 0.500 0.500 0.000

Values from the calculation:
* DOS at the Fermi energy: 2.02 states/eV per cell
* DFT total energy: -3.97 eV/atom